Below is Cs2K2Mg after structural relaxation, with properties calculated at the PBE level.

Cell and atoms, written as CIF:
```
data_Cs2K2Mg
_symmetry_space_group_name_H-M 'P 1'
_symmetry_Int_Tables_number 1
_cell_length_a 10.488
_cell_length_b 10.488
_cell_length_c 7.424
_cell_angle_alpha 90.00
_cell_angle_beta 90.00
_cell_angle_gamma 90.00
loop_
_symmetry_equiv_pos_as_xyz
'x,y,z'
loop_
_atom_site_label
_atom_site_type_symbol
_atom_site_fract_x
_atom_site_fract_y
_atom_site_fract_z
Cs1 Cs 0.152 0.348 0.000
Cs2 Cs 0.348 0.848 0.000
Cs3 Cs 0.652 0.152 0.000
Cs4 Cs 0.848 0.652 0.000
K1 K 0.172 0.672 0.500
K2 K 0.328 0.172 0.500
K3 K 0.672 0.828 0.500
K4 K 0.828 0.328 0.500
Mg1 Mg 0.000 0.000 0.000
Mg2 Mg 0.500 0.500 0.000
```

Properties
energy of formation from the pure elements = 0.23 eV/atom
SG = No. 127
uncorrected energy = -0.870 eV/atom
calculated volume = 81.661 Å³ per atom
Fermi-level density of states = 0.987 states/eV/atom